CeLu2Sb | GGA-PBE | optimized geometry

Properties
mass density = 9.40 Mg/m³
N(E_F) = 6.78 states/eV/cell
energy above the lowest structure with this stoichiometry = 0.191 eV per formula unit
space group = P4/mmm (123)

Geometry as extended XYZ:
```
4
Lattice="3.874 0.000 0.000 0.000 3.874 0.000 0.000 0.000 7.200" Properties=species:S:1:pos:R:3 pbc="T T T"
Ce 0.000 0.000 0.000
Lu 1.937 1.937 1.988
Lu 1.937 1.937 5.212
Sb 0.000 0.000 3.600
```

DyTh2Ru | GGA-PBE | optimized geometry

Properties
mass density = 9.36 Mg/m³
N(E_F) = 5.66 states/eV/cell
energy above the lowest structure with this stoichiometry = 1.543 eV per formula unit
space group = R-3m (166)
ΔE_f = 0.33 eV per formula unit

Geometry as extended XYZ:
```
4
Lattice="1.909 1.102 10.223 -1.909 1.102 10.223 0.000 -2.204 10.223" Properties=species:S:1:pos:R:3 pbc="T T T"
Dy 0.000 0.000 0.000
Th 0.000 0.000 3.413
Th 0.000 0.000 27.256
Ru 0.000 0.000 15.335
```

RuPt2Cl | GGA-PBE | optimized geometry

Properties
mass density = 13.64 Mg/m³
N(E_F) = 4.14 states/eV/cell
energy above the lowest structure with this stoichiometry = 2.337 eV per formula unit
space group = Fm-3m (225)

Geometry as extended XYZ:
```
4
Lattice="0.000 3.177 3.177 3.177 0.000 3.177 3.177 3.177 0.000" Properties=species:S:1:pos:R:3 pbc="T T T"
Ru 0.000 0.000 0.000
Pt 1.588 1.588 1.588
Pt 4.765 4.765 4.765
Cl 3.177 3.177 3.177
```

PuHf12In3 | GGA-PBE | optimized geometry

Properties
mass density = 12.89 Mg/m³
N(E_F) = 12.84 states/eV/cell
space group = P4/mmm (123)
ΔE_f = -1.40 eV per formula unit

Geometry as extended XYZ:
```
16
Lattice="4.450 0.000 0.000 0.000 4.450 0.000 0.000 0.000 17.758" Properties=species:S:1:pos:R:3 pbc="T T T"
Pu 0.000 0.000 0.000
Hf 0.000 2.225 2.205
Hf 0.000 2.225 6.687
Hf 0.000 2.225 11.071
Hf 0.000 2.225 15.552
Hf 2.225 0.000 2.205
Hf 2.225 0.000 6.687
Hf 2.225 0.000 11.071
Hf 2.225 0.000 15.552
Hf 2.225 2.225 0.000
Hf 2.225 2.225 4.481
Hf 2.225 2.225 8.879
Hf 2.225 2.225 13.276
In 0.000 0.000 4.446
In 0.000 0.000 8.879
In 0.000 0.000 13.311
```

LuTlPtAu | GGA-PBE | optimized geometry

Properties
mass density = 15.64 Mg/m³
N(E_F) = 1.40 states/eV/cell
space group = F-43m (216)
ΔE_f = -2.45 eV per formula unit

Geometry as extended XYZ:
```
4
Lattice="0.000 3.447 3.447 3.447 0.000 3.447 3.447 3.447 0.000" Properties=species:S:1:pos:R:3 pbc="T T T"
Lu 0.000 0.000 0.000
Tl 3.447 3.447 3.447
Pt 1.724 1.724 1.724
Au 5.171 5.171 5.171
```

Ti3TeCl | GGA-PBE | optimized geometry

Properties
mass density = 3.48 Mg/m³
N(E_F) = 4.04 states/eV/cell
energy above the lowest structure with this stoichiometry = 3.935 eV per formula unit
space group = Pm-3m (221)

Geometry as extended XYZ:
```
5
Lattice="5.269 0.000 0.000 0.000 5.269 0.000 0.000 0.000 5.269" Properties=species:S:1:pos:R:3 pbc="T T T"
Ti 0.000 0.000 2.634
Ti 0.000 2.634 0.000
Ti 2.634 0.000 0.000
Te 0.000 0.000 0.000
Cl 2.634 2.634 2.634
```

CaCe2Tc | GGA-PBE | optimized geometry

Properties
mass density = 5.51 Mg/m³
N(E_F) = 8.42 states/eV/cell
energy above the lowest structure with this stoichiometry = 0.188 eV per formula unit
space group = R3m (160)
ΔE_f = 0.44 eV per formula unit

Geometry as extended XYZ:
```
4
Lattice="2.004 1.157 9.059 -2.004 1.157 9.059 0.000 -2.313 9.059" Properties=species:S:1:pos:R:3 pbc="T T T"
Ca 0.000 0.000 0.000
Ce 0.000 0.000 6.057
Ce 0.000 0.000 12.175
Tc 0.000 0.000 22.815
```

ScPaTe6 | GGA-PBE | optimized geometry

Properties
mass density = 7.04 Mg/m³
N(E_F) = 5.37 states/eV/cell
energy above the lowest structure with this stoichiometry = 0.000 eV per formula unit
space group = Amm2 (38)

Geometry as extended XYZ:
```
8
Lattice="4.382 0.000 0.000 0.000 2.189 12.801 0.000 -2.189 12.801" Properties=species:S:1:pos:R:3 pbc="T T T"
Sc 0.000 0.000 0.000
Pa 2.191 0.000 8.678
Te 0.000 0.000 6.348
Te 0.000 0.000 15.010
Te 0.000 0.000 22.459
Te 2.191 0.000 2.213
Te 2.191 0.000 11.818
Te 2.191 0.000 19.148
```

AcMgAl | GGA-PBE | optimized geometry

Properties
mass density = 5.32 Mg/m³
N(E_F) = 8.07 states/eV/cell
energy above the lowest structure with this stoichiometry = 0.000 eV per formula unit
space group = P2_1/m (11)
ΔE_f = -0.72 eV per formula unit

Geometry as extended XYZ:
```
18
Lattice="7.946 0.000 0.000 0.000 4.868 0.000 -0.037 0.000 13.478" Properties=species:S:1:pos:R:3 pbc="T T T"
Ac 0.001 1.217 4.010
Ac 2.744 3.651 12.414
Ac 3.885 3.651 8.412
Ac 4.024 1.217 5.066
Ac 5.165 1.217 1.064
Ac 7.908 3.651 9.468
Mg 0.055 1.217 12.273
Mg 1.205 1.217 7.284
Mg 2.655 3.651 2.742
Mg 5.254 1.217 10.736
Mg 6.704 3.651 6.194
Mg 7.854 3.651 1.205
Al 1.702 3.651 5.733
Al 1.786 1.217 1.207
Al 2.231 1.217 10.127
Al 5.678 3.651 3.351
Al 6.122 3.651 12.271
Al 6.206 1.217 7.745
```

BaTcW3 | GGA-PBE | optimized geometry

Properties
mass density = 11.28 Mg/m³
N(E_F) = 12.56 states/eV/cell
energy above the lowest structure with this stoichiometry = 11.968 eV per formula unit
space group = Pm-3m (221)
ΔE_f = 20.53 eV per formula unit

Geometry as extended XYZ:
```
5
Lattice="4.874 0.000 0.000 0.000 4.874 0.000 0.000 0.000 4.874" Properties=species:S:1:pos:R:3 pbc="T T T"
Ba 0.000 0.000 0.000
Tc 2.437 2.437 2.437
W 0.000 0.000 2.437
W 0.000 2.437 0.000
W 2.437 0.000 0.000
```

La2DyHo9 | GGA-PBE | optimized geometry

Properties
mass density = 8.30 Mg/m³
N(E_F) = 18.01 states/eV/cell
energy above the lowest structure with this stoichiometry = 0.000 eV per formula unit
space group = P4/mmm (123)
ΔE_f = 0.37 eV per formula unit

Geometry as extended XYZ:
```
12
Lattice="5.041 0.000 0.000 0.000 5.041 0.000 0.000 0.000 15.144" Properties=species:S:1:pos:R:3 pbc="T T T"
La 0.000 0.000 2.520
La 0.000 0.000 12.624
Dy 0.000 0.000 7.572
Ho 0.000 2.521 0.000
Ho 0.000 2.521 5.105
Ho 0.000 2.521 10.039
Ho 2.521 0.000 0.000
Ho 2.521 0.000 5.105
Ho 2.521 0.000 10.039
Ho 2.521 2.521 2.559
Ho 2.521 2.521 7.572
Ho 2.521 2.521 12.585
```

AuO | GGA-PBE | optimized geometry

Properties
mass density = 11.36 Mg/m³
total DFT energy (no corrections) = -3.754 eV per atom
N(E_F) = 0.68 states/eV/cell
space group = P1 (1)

Geometry as extended XYZ:
```
2
Lattice="3.084 0.000 0.000 0.000 3.120 0.000 -1.317 -0.035 3.237" Properties=species:S:1:pos:R:3 pbc="T T T"
Au 0.000 0.000 0.000
O 1.542 1.560 0.190
```

Total magnetic moment values (in Bohr magnetons per cell) by entry order: 0.4; 0.0; 0.9; 4.9; 0.0; 8.4; 1.0; 0.9; 0.0; 0.0; 0.0; 0.0.